1.
## LiFe6Ge4 (PBE)

Data for an optimized crystal structure of LiFe6Ge4.

abc: 7.1122 7.1122 7.1122
angles: 41.41 41.41 41.41
Last column: nearest neighbours and their distance in Å.
Fractional positions:
Li (0.0000, 0.0000, 0.0000)  2 Ge 2.47
Fe (0.3997, 0.8862, 0.3997)  4 Fe 2.45-2.58, 5 Ge 2.48-2.55
Fe (0.1138, 0.6003, 0.6003)  4 Fe 2.45-2.58, 5 Ge 2.48-2.55
Fe (0.6003, 0.6003, 0.1138)  4 Fe 2.45-2.58, 5 Ge 2.48-2.55
Fe (0.6003, 0.1138, 0.6003)  4 Fe 2.45-2.58, 5 Ge 2.48-2.55
Fe (0.3997, 0.3997, 0.8862)  4 Fe 2.45-2.58, 5 Ge 2.48-2.55
Fe (0.8862, 0.3997, 0.3997)  4 Fe 2.45-2.58, 5 Ge 2.48-2.55
Ge (0.1268, 0.1268, 0.1268)  1 Li 2.47, 9 Fe 2.48-2.55
Ge (0.3317, 0.3317, 0.3317)  6 Fe 2.50-2.51
Ge (0.6683, 0.6683, 0.6683)  6 Fe 2.50-2.51
Ge (0.8732, 0.8732, 0.8732)  1 Li 2.47, 9 Fe 2.48-2.55

## Properties
**Total moment**: 11.28 μB/cell
**Calculated total energy**: -72.992 eV per cell
**Symmetry**: R-3m, No. 166


2.
## Li2Fe3Ge4 (PBE)

Data for an optimized crystal structure of Li2Fe3Ge4.

abc: 5.0477 5.0477 6.6134
angles: 101.46 101.46 118.63
Last column: nearest neighbours and their distance in Å.
Fractional positions:
Li (0.6152, 0.6152, 0.2305)  1 Li 2.81, 6 Fe 2.89-2.93, 8 Ge 2.91-3.12
Li (0.3848, 0.3848, 0.7695)  1 Li 2.81, 6 Fe 2.89-2.93, 8 Ge 2.91-3.12
Fe (0.5000, 0.0000, 0.0000)  4 Ge 2.43, 4 Fe 2.52-2.58
Fe (0.0000, 0.0000, 0.0000)  4 Ge 2.44, 4 Fe 2.52
Fe (0.0000, 0.5000, 0.0000)  4 Ge 2.43, 4 Fe 2.52-2.58
Ge (0.0106, 0.6701, 0.6807)  3 Fe 2.43-2.44, 1 Ge 2.60
Ge (0.6701, 0.0106, 0.6807)  3 Fe 2.43-2.44, 1 Ge 2.60
Ge (0.9894, 0.3299, 0.3193)  3 Fe 2.43-2.44, 1 Ge 2.60
Ge (0.3299, 0.9894, 0.3193)  3 Fe 2.43-2.44, 1 Ge 2.60

## Properties
**Total moment**: 5.35 μB/cell
**Calculated total energy**: -48.264 eV per cell
**Symmetry**: Fmmm, No. 69


3.
## LiFe2Ge2 (PBE)

Data for an optimized crystal structure of LiFe2Ge2.

abc: 4.5095 4.5095 4.9888
angles: 63.13 63.13 90.00
Last column: nearest neighbours and their distance in Å.
Fractional positions:
Ge (0.7500, 0.2500, 0.5000)  4 Fe 2.40
Ge (0.2500, 0.7500, 0.5000)  4 Fe 2.40
Fe (0.3574, 0.3574, 0.2852)  1 Fe 2.19, 4 Ge 2.40
Fe (0.6426, 0.6426, 0.7148)  1 Fe 2.19, 4 Ge 2.40
Li (0.0000, 0.0000, 0.0000)  2 Fe 2.74, 8 Ge 2.96

## Properties
**Total moment**: 3.77 μB/cell
**Symmetry**: I4/mmm, No. 139
**Polymorph energy (0 for the lowest one)**: 241.1 meV per atom


4.
## LiFe2Ge3 (PBE)

Data for an optimized crystal structure of LiFe2Ge3.

abc: 4.9053 6.0152 6.0152
angles: 98.50 90.00 90.00
Last column: nearest neighbours and their distance in Å.
Fractional positions:
Li (0.2500, 0.4309, 0.4309)  2 Li 2.68, 3 Ge 2.70-2.76, 4 Fe 2.92
Li (0.7500, 0.5691, 0.5691)  2 Li 2.68, 3 Ge 2.70-2.76, 4 Fe 2.92
Fe (0.5000, 0.7846, 0.2154)  6 Ge 2.41-2.51, 2 Fe 2.45
Fe (0.0000, 0.7846, 0.2154)  6 Ge 2.41-2.51, 2 Fe 2.45
Fe (0.0000, 0.2154, 0.7846)  6 Ge 2.41-2.51, 2 Fe 2.45
Fe (0.5000, 0.2154, 0.7846)  6 Ge 2.41-2.51, 2 Fe 2.45
Ge (0.7500, 0.4319, 0.1099)  4 Fe 2.45-2.51
Ge (0.7500, 0.1099, 0.4319)  4 Fe 2.45-2.51
Ge (0.2500, 0.5681, 0.8901)  4 Fe 2.45-2.51
Ge (0.7500, 0.9131, 0.9131)  4 Fe 2.41, 1 Li 2.70
Ge (0.2500, 0.0869, 0.0869)  4 Fe 2.41, 1 Li 2.70
Ge (0.2500, 0.8901, 0.5681)  4 Fe 2.45-2.51

## Properties
**Total moment**: 4.70 μB/cell
**Calculated total energy**: -66.197 eV per cell
**Symmetry**: Cmcm, No. 63


5.
## LiFe2Ge (PBE)

Data for an optimized crystal structure of LiFe2Ge.

abc: 6.5848 6.5848 5.2884
angles: 51.50 51.50 90.00
Last column: nearest neighbours and their distance in Å.
Fractional positions:
Ge (0.0000, 0.0000, 0.0000)  4 Fe 2.38, 2 Li 2.51
Ge (0.7500, 0.2500, 0.5000)  4 Fe 2.38, 2 Li 2.51
Fe (0.6321, 0.1250, 0.2500)  2 Ge 2.38, 2 Li 2.44, 2 Fe 2.51
Fe (0.1179, 0.6250, 0.2500)  2 Ge 2.38, 2 Li 2.44, 2 Fe 2.51
Fe (0.3750, 0.3679, 0.7500)  2 Ge 2.38, 2 Li 2.44, 2 Fe 2.51
Fe (0.8750, 0.8821, 0.7500)  2 Ge 2.38, 2 Li 2.44, 2 Fe 2.51
Li (0.5000, 0.5000, 0.0000)  4 Fe 2.44, 2 Ge 2.51
Li (0.2500, 0.7500, 0.5000)  4 Fe 2.44, 2 Ge 2.51

## Properties
**Total moment**: 9.28 μB/cell
**Calculated total energy**: -44.305 eV per cell
**Symmetry**: I-42d, No. 122


6.
## Li2FeGe2 (PBE)

Data for an optimized crystal structure of Li2FeGe2.

abc: 6.2658 6.2658 3.7261
angles: 90.00 90.00 90.00
Last column: nearest neighbours and their distance in Å.
Fractional positions:
Ge (0.3496, 0.8496, 0.0000)  2 Fe 2.38, 2 Li 2.51, 1 Ge 2.67
Ge (0.8496, 0.6504, 0.0000)  2 Fe 2.38, 2 Li 2.51, 1 Ge 2.67
Ge (0.6504, 0.1504, 0.0000)  2 Fe 2.38, 2 Li 2.51, 1 Ge 2.67
Ge (0.1504, 0.3496, 0.0000)  2 Fe 2.38, 2 Li 2.51, 1 Ge 2.67
Fe (0.0000, 0.0000, 0.0000)  4 Ge 2.38
Fe (0.5000, 0.5000, 0.0000)  4 Ge 2.38
Li (0.1606, 0.6606, 0.5000)  6 Ge 2.51-2.70
Li (0.6606, 0.8394, 0.5000)  6 Ge 2.51-2.70
Li (0.8394, 0.3394, 0.5000)  6 Ge 2.51-2.70
Li (0.3394, 0.1606, 0.5000)  6 Ge 2.51-2.70

## Properties
**Total moment**: 0.00 μB/cell
**Calculated total energy**: -43.284 eV per cell
**Symmetry**: P4/mbm, No. 127


7.
## LiFe3Ge (PBE)

Data for an optimized crystal structure of LiFe3Ge.

abc: 4.4841 4.4841 4.4841
angles: 90.00 90.00 90.00
Last column: nearest neighbours and their distance in Å.
Fractional positions:
Ge (0.0000, 0.0000, 0.0000)  6 Fe 2.24
Fe (0.0000, 0.5000, 0.0000)  2 Ge 2.24
Fe (0.0000, 0.0000, 0.5000)  2 Ge 2.24
Fe (0.5000, 0.0000, 0.0000)  2 Ge 2.24
Li (0.5000, 0.5000, 0.5000)  12 Fe 3.17

## Properties
**Total moment**: 7.64 μB/cell
**Symmetry**: Pm-3m, No. 221
**Polymorph energy (0 for the lowest one)**: 0.0 meV per atom


8.
## LiFe2Ge2 (PBE)

Data for an optimized crystal structure of LiFe2Ge2.

abc: 3.6634 3.6634 6.1473
angles: 72.66 72.66 90.00
Last column: nearest neighbours and their distance in Å.
Fractional positions:
Ge (0.3890, 0.3890, 0.2219)  4 Fe 2.40, 1 Ge 2.47
Ge (0.6110, 0.6110, 0.7781)  4 Fe 2.40, 1 Ge 2.47
Fe (0.7500, 0.2500, 0.5000)  4 Ge 2.40, 4 Fe 2.59
Fe (0.2500, 0.7500, 0.5000)  4 Ge 2.40, 4 Fe 2.59
Li (0.0000, 0.0000, 0.0000)  8 Ge 2.87

## Properties
**Total moment**: 3.52 μB/cell
**Symmetry**: I4/mmm, No. 139
**Polymorph energy (0 for the lowest one)**: 12.5 meV per atom


9.
## LiFe2Ge2 (PBE)

Data for an optimized crystal structure of LiFe2Ge2.

abc: 6.9478 6.9478 2.7070
angles: 90.00 90.00 90.00
Last column: nearest neighbours and their distance in Å.
Fractional positions:
Ge (0.3467, 0.8467, 0.0000)  6 Fe 2.42-2.46, 2 Li 2.63, 2 Ge 2.71
Ge (0.8467, 0.6533, 0.0000)  6 Fe 2.42-2.46, 2 Li 2.63, 2 Ge 2.71
Ge (0.6533, 0.1533, 0.0000)  6 Fe 2.42-2.46, 2 Li 2.63, 2 Ge 2.71
Ge (0.1533, 0.3467, 0.0000)  6 Fe 2.42-2.46, 2 Li 2.63, 2 Ge 2.71
Fe (0.1425, 0.6425, 0.5000)  6 Ge 2.42-2.46, 2 Fe 2.71
Fe (0.6425, 0.8575, 0.5000)  6 Ge 2.42-2.46, 2 Fe 2.71
Fe (0.8575, 0.3575, 0.5000)  6 Ge 2.42-2.46, 2 Fe 2.71
Fe (0.3575, 0.1425, 0.5000)  6 Ge 2.42-2.46, 2 Fe 2.71
Li (0.0000, 0.0000, 0.0000)  4 Ge 2.63, 2 Li 2.71
Li (0.5000, 0.5000, 0.0000)  4 Ge 2.63, 2 Li 2.71

## Properties
**Total moment**: 2.94 μB/cell
**Symmetry**: P4/mbm, No. 127
**Polymorph energy (0 for the lowest one)**: 0.0 meV per atom


10.
## LiFe3Ge (PBE)

Data for an optimized crystal structure of LiFe3Ge.

abc: 4.0336 4.0336 4.0336
angles: 90.00 90.00 90.00
Last column: nearest neighbours and their distance in Å.
Fractional positions:
Ge (0.5000, 0.5000, 0.5000)  12 Fe 2.85
Fe (0.0000, 0.5000, 0.0000)  2 Li 2.02
Fe (0.0000, 0.0000, 0.5000)  2 Li 2.02
Fe (0.5000, 0.0000, 0.0000)  2 Li 2.02
Li (0.0000, 0.0000, 0.0000)  6 Fe 2.02

## Properties
**Total moment**: 7.52 μB/cell
**Symmetry**: Pm-3m, No. 221
**Polymorph energy (0 for the lowest one)**: 67.4 meV per atom


11.
## LiFe6Ge5 (PBE)

Data for an optimized crystal structure of LiFe6Ge5.

abc: 5.0102 5.0102 14.7762
angles: 80.19 80.19 59.99
Last column: nearest neighbours and their distance in Å.
Fractional positions:
Li (0.9116, 0.9116, 0.2633)  2 Ge 2.53-2.60
Li (0.0884, 0.0884, 0.7367)  2 Ge 2.53-2.60
Fe (0.9538, 0.4530, 0.1391)  6 Ge 2.46-2.61, 4 Fe 2.50-2.51
Fe (0.4530, 0.9538, 0.1391)  6 Ge 2.46-2.61, 4 Fe 2.50-2.51
Fe (0.0462, 0.5470, 0.8609)  6 Ge 2.46-2.61, 4 Fe 2.50-2.51
Fe (0.5470, 0.0462, 0.8609)  6 Ge 2.46-2.61, 4 Fe 2.50-2.51
Fe (0.8539, 0.3645, 0.4177)  4 Fe 2.45-2.56, 5 Ge 2.49-2.53
Fe (0.3645, 0.8539, 0.4177)  4 Fe 2.45-2.56, 5 Ge 2.49-2.53
Fe (0.1461, 0.6355, 0.5823)  4 Fe 2.45-2.56, 5 Ge 2.49-2.53
Fe (0.6355, 0.1461, 0.5823)  4 Fe 2.45-2.56, 5 Ge 2.49-2.53
Fe (0.6359, 0.6359, 0.5822)  4 Fe 2.46-2.56, 5 Ge 2.48-2.53
Fe (0.3641, 0.3641, 0.4178)  4 Fe 2.46-2.56, 5 Ge 2.48-2.53
Fe (0.5469, 0.5469, 0.8609)  6 Ge 2.46-2.61, 4 Fe 2.50-2.51
Fe (0.4531, 0.4531, 0.1391)  6 Ge 2.46-2.61, 4 Fe 2.50-2.51
Ge (0.6665, 0.6665, 0.0002)  6 Fe 2.48
Ge (0.3335, 0.3335, 0.9998)  6 Fe 2.48
Ge (0.9702, 0.9702, 0.0887)  1 Li 2.53, 1 Ge 2.57, 6 Fe 2.61
Ge (0.0298, 0.0298, 0.9113)  1 Li 2.53, 1 Ge 2.57, 6 Fe 2.61
Ge (0.5741, 0.5741, 0.2767)  6 Fe 2.46-2.49
Ge (0.4259, 0.4259, 0.7233)  6 Fe 2.46-2.49
Ge (0.8528, 0.8528, 0.4424)  9 Fe 2.51-2.53, 1 Li 2.60
Ge (0.1472, 0.1472, 0.5576)  9 Fe 2.51-2.53, 1 Li 2.60
Ge (0.7597, 0.7597, 0.7218)  6 Fe 2.48-2.51
Ge (0.2403, 0.2403, 0.2782)  6 Fe 2.48-2.51

## Properties
**Total moment**: 19.62 μB/cell
**Calculated total energy**: -155.796 eV per cell
**Symmetry**: C2/m, No. 12


12.
## LiFe2GeN (PBE)

Data for an optimized crystal structure of LiFe2GeN.

abc: 3.7045 3.7045 3.8299
angles: 90.00 90.00 90.00
Last column: nearest neighbours and their distance in Å.
Fractional positions:
Ge (0.5000, 0.5000, 0.5000)  4 Li 2.62, 8 Fe 2.66
Li (0.0000, 0.0000, 0.5000)  2 N 1.91
Fe (0.0000, 0.5000, 0.0000)  2 N 1.85
Fe (0.5000, 0.0000, 0.0000)  2 N 1.85
N (0.0000, 0.0000, 0.0000)  4 Fe 1.85, 2 Li 1.91

## Properties
**Formation energy without anion corrections**: -0.16 eV per atom
**Total moment**: 0.00 μB/cell
**Symmetry**: P4/mmm, No. 123


13.
## NaLiFeGe2 (PBE)

Data for an optimized crystal structure of NaLiFeGe2.

abc: 4.4796 4.8114 4.4796
angles: 90.00 90.00 90.00
Last column: nearest neighbours and their distance in Å.
Fractional positions:
Na (0.5000, 0.5000, 0.5000)  4 Li 3.17, 8 Ge 3.29
Ge (0.0000, 0.0000, 0.5000)  2 Fe 2.24
Ge (0.5000, 0.0000, 0.0000)  2 Fe 2.24
Fe (0.0000, 0.0000, 0.0000)  4 Ge 2.24, 2 Li 2.41
Li (0.0000, 0.5000, 0.0000)  2 Fe 2.41

## Properties
**Total moment**: 0.00 μB/cell
**Calculated total energy**: -20.991 eV per cell
**Symmetry**: P4/mmm, No. 123